(1)
Material: Na3In9Sn2
Method: DFT, GGA-PBE
State: relaxed

CIF file:
```
data_Na3In9Sn2
_chemical_formula_sum 'Na3 In9 Sn2'
_cell_length_a 9.391
_cell_length_b 9.391
_cell_length_c 9.391
_cell_angle_alpha 149.70
_cell_angle_beta 103.11
_cell_angle_gamma 84.83
_space_group_name_H-M_alt 'P 1'
_space_group_IT_number 1
loop_
_space_group_symop_operation_xyz
'x,y,z'
loop_
_atom_site_label
_atom_site_type_symbol
_atom_site_fract_x
_atom_site_fract_y
_atom_site_fract_z
_atom_site_occupancy
Na1 Na 0.000 0.000 0.000 1
Na2 Na 0.291 0.291 0.000 1
Na3 Na 0.709 0.709 0.000 1
In1 In 0.017 0.641 0.376 1
In2 In 0.126 0.844 0.282 1
In3 In 0.265 0.641 0.624 1
In4 In 0.438 0.156 0.282 1
In5 In 0.500 0.000 0.500 1
In6 In 0.562 0.844 0.718 1
In7 In 0.735 0.359 0.376 1
In8 In 0.874 0.156 0.718 1
In9 In 0.983 0.359 0.624 1
Sn1 Sn 0.325 0.500 0.825 1
Sn2 Sn 0.675 0.500 0.175 1
```

- calculated volume (Å³/f.u.) = 397.5
- space-group type = Immm (71)


(2)
Material: Na3In3Sn
Method: DFT, GGA-PBE
State: relaxed

CIF file:
```
data_Na3In3Sn
_chemical_formula_sum 'Na6 In6 Sn2'
_cell_length_a 8.428
_cell_length_b 8.428
_cell_length_c 7.365
_cell_angle_alpha 102.47
_cell_angle_beta 102.47
_cell_angle_gamma 113.81
_space_group_name_H-M_alt 'P 1'
_space_group_IT_number 1
loop_
_space_group_symop_operation_xyz
'x,y,z'
loop_
_atom_site_label
_atom_site_type_symbol
_atom_site_fract_x
_atom_site_fract_y
_atom_site_fract_z
_atom_site_occupancy
Na1 Na 0.125 0.875 0.000 1
Na2 Na 0.256 0.744 0.500 1
Na3 Na 0.471 0.471 0.217 1
Na4 Na 0.529 0.529 0.783 1
Na5 Na 0.744 0.256 0.500 1
Na6 Na 0.875 0.125 0.000 1
In1 In 0.141 0.503 0.906 1
In2 In 0.211 0.211 0.388 1
In3 In 0.497 0.859 0.094 1
In4 In 0.503 0.141 0.906 1
In5 In 0.789 0.789 0.612 1
In6 In 0.859 0.497 0.094 1
Sn1 Sn 0.147 0.147 0.753 1
Sn2 Sn 0.853 0.853 0.247 1
```

- energy above the most stable polymorph in this dataset (kJ/mol of atoms) = 2.5
- calculated volume (Å³/f.u.) = 219.8
- space-group type = C2/m (12)


Number 1: formation energy from the elements -0.07 eV/atom. Number 2: formation energy from the elements -0.04 eV/atom.